Record 1
This record from Alexandria describes crystalline Mn3In5Cl12 at its relaxed geometry. The functional is PBE.

Lattice parameters (Å, degrees): 12.7764 12.7764 3.8523 90.00 90.00 120.00
With the nearest neighbours (Å) after each atom.
Sites, in units of the cell vectors:
Mn 0.0000 0.3355 0.0000  6 Cl 2.45-2.58
Mn 0.3355 0.0000 0.0000  6 Cl 2.45-2.58
Mn 0.6645 0.6645 0.0000  6 Cl 2.45-2.58
In 0.0000 0.7169 0.5000  7 Cl 3.16-3.22
In 0.2831 0.2831 0.5000  7 Cl 3.16-3.22
In 0.3333 0.6667 0.5000  6 Cl 3.12
In 0.6667 0.3333 0.5000  6 Cl 3.12
In 0.7169 0.0000 0.5000  7 Cl 3.16-3.22
Cl 0.0000 0.2015 0.5000  2 Mn 2.58
Cl 0.0000 0.4699 0.5000  2 Mn 2.58
Cl 0.2015 0.0000 0.5000  2 Mn 2.58
Cl 0.2217 0.4445 0.0000  1 Mn 2.45
Cl 0.2228 0.7783 0.0000  1 Mn 2.45
Cl 0.4445 0.2217 0.0000  1 Mn 2.45
Cl 0.4699 0.0000 0.5000  2 Mn 2.58
Cl 0.5301 0.5301 0.5000  2 Mn 2.58
Cl 0.5555 0.7772 0.0000  1 Mn 2.45
Cl 0.7772 0.5555 0.0000  1 Mn 2.45
Cl 0.7783 0.2228 0.0000  1 Mn 2.45
Cl 0.7985 0.7985 0.5000  2 Mn 2.58

Total DFT energy (no corrections) in eV per atom: -4.097
Formation energy without anion corrections in eV/atom: -0.93
Calculated volume in Å³/f.u.: 545

***

Record 2
This record from Alexandria describes crystalline MnInCl2 at its relaxed geometry. The functional is PBE.

Lattice parameters (Å, degrees): 3.3470 3.3470 25.5356 90.00 90.00 120.00
With the nearest neighbours (Å) after each atom.
Sites, in units of the cell vectors:
Mn 0.0000 0.0000 0.0000  3 Cl 2.26
Mn 0.3333 0.6667 0.6667  3 Cl 2.26
Mn 0.6667 0.3333 0.3333  3 Cl 2.26
In 0.0000 0.0000 0.7445  3 Cl 2.71, 3 Mn 2.77
In 0.3333 0.6667 0.4112  3 Cl 2.71, 3 Mn 2.77
In 0.6667 0.3333 0.0778  3 Cl 2.71, 3 Mn 2.77
Cl 0.0000 0.0000 0.2874  3 Mn 2.26
Cl 0.0000 0.0000 0.4858  3 In 2.71
Cl 0.3333 0.6667 0.1525  3 In 2.71
Cl 0.3333 0.6667 0.9540  3 Mn 2.26
Cl 0.6667 0.3333 0.6207  3 Mn 2.26
Cl 0.6667 0.3333 0.8191  3 In 2.71

Total DFT energy (no corrections) in eV per atom: -4.193
Formation energy without anion corrections in eV/atom: -0.29
Distance to the lowest polymorph of the same formula in eV per formula unit: 1.42
Calculated volume in Å³/f.u.: 83

***

Record 3
This record from Alexandria describes crystalline MnInCl2 at its relaxed geometry. The functional is PBE.

Lattice parameters (Å, degrees): 3.4500 3.6463 9.5342 90.00 98.35 90.00
With the nearest neighbours (Å) after each atom.
Sites, in units of the cell vectors:
Mn 0.0000 0.0000 0.0000  4 Cl 2.37-2.38
In 0.7099 0.5000 0.4926  3 Cl 3.28-3.52, 4 In 3.45-3.65
Cl 0.5704 0.0000 0.1739  2 Mn 2.38
Cl 0.9452 0.5000 0.8391  2 Mn 2.37

Total DFT energy (no corrections) in eV per atom: -4.480
Formation energy without anion corrections in eV/atom: -0.58
Distance to the lowest polymorph of the same formula in eV per formula unit: 0.27
Calculated volume in Å³/f.u.: 119

***

Record 4
This record from Alexandria describes crystalline Mn3In4Cl10 at its relaxed geometry. The functional is PBE.

Lattice parameters (Å, degrees): 18.3042 18.3042 18.3042 164.11 164.11 22.54
With the nearest neighbours (Å) after each atom.
Sites, in units of the cell vectors:
Mn 0.0000 0.0000 0.0000  6 Cl 2.51-2.53
Mn 0.1426 0.1426 0.0000  6 Cl 2.45-2.61
Mn 0.8574 0.8574 0.0000  6 Cl 2.45-2.61
In 0.2995 0.2995 0.0000  5 Cl 3.19-3.36
In 0.4323 0.4323 0.0000  12 Cl 3.51-3.60
In 0.5677 0.5677 0.0000  12 Cl 3.51-3.60
In 0.7005 0.7005 0.0000  5 Cl 3.19-3.36
Cl 0.0000 0.5000 0.5000  2 Mn 2.53
Cl 0.0700 0.0700 0.0000  2 Mn 2.51-2.61
Cl 0.1390 0.6390 0.5000  2 Mn 2.53
Cl 0.2108 0.2108 0.0000  1 Mn 2.45
Cl 0.3610 0.8610 0.5000  2 Mn 2.53
Cl 0.5000 0.0000 0.5000  2 Mn 2.53
Cl 0.6390 0.1390 0.5000  2 Mn 2.53
Cl 0.7892 0.7892 0.0000  1 Mn 2.45
Cl 0.8610 0.3610 0.5000  2 Mn 2.53
Cl 0.9300 0.9300 0.0000  2 Mn 2.51-2.61

Total DFT energy (no corrections) in eV per atom: -4.282
Formation energy without anion corrections in eV/atom: -0.93
Calculated volume in Å³/f.u.: 459

***

Record 5
This record from Alexandria describes crystalline MnIn3Cl4 at its relaxed geometry. The functional is PBE.

Lattice parameters (Å, degrees): 8.5405 8.5405 7.3035 90.00 90.00 90.00
With the nearest neighbours (Å) after each atom.
Sites, in units of the cell vectors:
Mn 0.0000 0.0000 0.0000  4 Cl 2.36
Mn 0.5000 0.5000 0.5000  4 Cl 2.36
In 0.0000 0.0000 0.5000  4 Cl 3.09
In 0.0000 0.5000 0.2500  4 Cl 3.24
In 0.0000 0.5000 0.7500  4 Cl 3.24
In 0.5000 0.0000 0.2500  4 Cl 3.24
In 0.5000 0.0000 0.7500  4 Cl 3.24
In 0.5000 0.5000 0.0000  4 Cl 3.09
Cl 0.1639 0.1639 0.8246  1 Mn 2.36
Cl 0.1639 0.8361 0.1754  1 Mn 2.36
Cl 0.3361 0.3361 0.3246  1 Mn 2.36
Cl 0.3361 0.6639 0.6754  1 Mn 2.36
Cl 0.6639 0.3361 0.6754  1 Mn 2.36
Cl 0.6639 0.6639 0.3246  1 Mn 2.36
Cl 0.8361 0.1639 0.1754  1 Mn 2.36
Cl 0.8361 0.8361 0.8246  1 Mn 2.36

Total DFT energy (no corrections) in eV per atom: -3.785
Formation energy without anion corrections in eV/atom: -0.69
Distance to the lowest polymorph of the same formula in eV per formula unit: 0.23
Calculated volume in Å³/f.u.: 266

***

Record 6
This record from Alexandria describes crystalline Mn2InCl8 at its relaxed geometry. The functional is PBE.

Lattice parameters (Å, degrees): 8.0434 8.0434 6.3593 93.46 93.46 58.60
With the nearest neighbours (Å) after each atom.
Sites, in units of the cell vectors:
Mn 0.1623 0.1623 0.1037  4 Cl 2.18-2.37
Mn 0.8377 0.8377 0.8963  4 Cl 2.18-2.37
In 0.0000 0.0000 0.5000  6 Cl 2.55-2.61
Cl 0.1401 0.7050 0.7310  1 Mn 2.37, 1 In 2.55
Cl 0.1580 0.1580 0.7411  1 Mn 2.30
Cl 0.2950 0.8599 0.2690  1 Mn 2.37, 1 In 2.55
Cl 0.3162 0.3162 0.1799  1 Mn 2.18
Cl 0.6838 0.6838 0.8201  1 Mn 2.18
Cl 0.7050 0.1401 0.7310  1 Mn 2.37, 1 In 2.55
Cl 0.8420 0.8420 0.2589  1 Mn 2.30
Cl 0.8599 0.2950 0.2690  1 Mn 2.37, 1 In 2.55

Total DFT energy (no corrections) in eV per atom: -4.207
Formation energy without anion corrections in eV/atom: -0.95
Calculated volume in Å³/f.u.: 350

***

Record 7
This record from Alexandria describes crystalline MnInCl2 at its relaxed geometry. The functional is PBE.

Lattice parameters (Å, degrees): 3.5443 4.7488 12.1098 90.00 90.00 90.00
With the nearest neighbours (Å) after each atom.
Sites, in units of the cell vectors:
Mn 0.0000 0.0000 0.0000  4 Cl 2.43-2.49
Mn 0.0000 0.5000 0.5000  4 Cl 2.43-2.49
In 0.5000 0.0000 0.8090  2 Mn 2.91, 2 Cl 3.10
In 0.5000 0.5000 0.3090  2 Mn 2.91, 2 Cl 3.10
Cl 0.0000 0.0000 0.4577  2 Mn 2.43
Cl 0.0000 0.5000 0.9577  2 Mn 2.43
Cl 0.5000 0.0000 0.1447  2 Mn 2.49
Cl 0.5000 0.5000 0.6447  2 Mn 2.49

Total DFT energy (no corrections) in eV per atom: -4.482
Formation energy without anion corrections in eV/atom: -0.58
Distance to the lowest polymorph of the same formula in eV per formula unit: 0.26
Calculated volume in Å³/f.u.: 102

***

Record 8
This record from Alexandria describes crystalline MnInCl2 at its relaxed geometry. The functional is PBE.

Lattice parameters (Å, degrees): 7.2531 7.2531 7.2531 90.00 90.00 90.00
With the nearest neighbours (Å) after each atom.
Sites, in units of the cell vectors:
Mn 0.0000 0.0000 0.0000  4 In 3.14, 4 Cl 3.14
Mn 0.0000 0.5000 0.5000  4 In 3.14, 4 Cl 3.14
Mn 0.5000 0.0000 0.5000  4 In 3.14, 4 Cl 3.14
Mn 0.5000 0.5000 0.0000  4 In 3.14, 4 Cl 3.14
In 0.2500 0.2500 0.2500  4 Cl 3.14, 4 Mn 3.14
In 0.2500 0.7500 0.7500  4 Cl 3.14, 4 Mn 3.14
In 0.7500 0.2500 0.7500  4 Cl 3.14, 4 Mn 3.14
In 0.7500 0.7500 0.2500  4 Cl 3.14, 4 Mn 3.14
Cl 0.0000 0.0000 0.5000  4 Cl 3.14, 4 In 3.14
Cl 0.0000 0.5000 0.0000  4 Cl 3.14, 4 In 3.14
Cl 0.2500 0.2500 0.7500  4 Cl 3.14, 4 Mn 3.14
Cl 0.2500 0.7500 0.2500  4 Cl 3.14, 4 Mn 3.14
Cl 0.5000 0.0000 0.0000  4 Cl 3.14, 4 In 3.14
Cl 0.5000 0.5000 0.5000  4 Cl 3.14, 4 In 3.14
Cl 0.7500 0.2500 0.2500  4 Cl 3.14, 4 Mn 3.14
Cl 0.7500 0.7500 0.7500  4 Cl 3.14, 4 Mn 3.14

Total DFT energy (no corrections) in eV per atom: -3.872
Formation energy without anion corrections in eV/atom: 0.03
Distance to the lowest polymorph of the same formula in eV per formula unit: 2.70
Calculated volume in Å³/f.u.: 95